1.
DFT (meta-GGA SCAN) results for KBa7 at its PBEsol-relaxed geometry.

Unit cell a=8.819 b=8.819 c=8.819 alpha=60.00 beta=60.00 gamma=60.00
Fractional coordinates of all 8 atoms:
K (0.000, 0.000, 0.000)
Ba (0.000, 0.000, 0.500)
Ba (0.000, 0.500, 0.000)
Ba (0.000, 0.500, 0.500)
Ba (0.500, 0.000, 0.000)
Ba (0.500, 0.000, 0.500)
Ba (0.500, 0.500, 0.000)
Ba (0.500, 0.500, 0.500)

## Properties
**Space-group type**: Fm-3m, No. 225
**N(E_F)**: 9.422 states/eV/f.u.

2.
DFT (meta-GGA SCAN) results for NaCo2Cl at its PBEsol-relaxed geometry.

Unit cell a=6.056 b=6.056 c=6.056 alpha=90.00 beta=90.00 gamma=90.00
Fractional coordinates of all 16 atoms:
Na (0.000, 0.000, 0.000)
Na (0.000, 0.500, 0.500)
Na (0.500, 0.000, 0.500)
Na (0.500, 0.500, 0.000)
Co (0.250, 0.250, 0.250)
Co (0.250, 0.250, 0.750)
Co (0.250, 0.750, 0.250)
Co (0.250, 0.750, 0.750)
Co (0.750, 0.250, 0.250)
Co (0.750, 0.250, 0.750)
Co (0.750, 0.750, 0.250)
Co (0.750, 0.750, 0.750)
Cl (0.000, 0.000, 0.500)
Cl (0.000, 0.500, 0.000)
Cl (0.500, 0.000, 0.000)
Cl (0.500, 0.500, 0.500)

## Properties
**Space-group type**: Fm-3m, No. 225
**Raw formation energy**: 4.26 eV/f.u.
**N(E_F)**: 2.594 states/eV/f.u.
**Polymorph energy (0 for the lowest one)**: 507.6 meV per atom

3.
DFT (meta-GGA SCAN) results for ZnBr2 at its PBEsol-relaxed geometry.

Unit cell a=9.871 b=3.608 c=9.983 alpha=90.00 beta=90.00 gamma=90.00
Fractional coordinates of all 12 atoms:
Zn (0.152, 0.250, 0.020)
Zn (0.348, 0.750, 0.520)
Zn (0.652, 0.250, 0.480)
Zn (0.848, 0.750, 0.980)
Br (0.016, 0.750, 0.164)
Br (0.185, 0.250, 0.479)
Br (0.315, 0.750, 0.979)
Br (0.484, 0.250, 0.664)
Br (0.516, 0.750, 0.336)
Br (0.685, 0.250, 0.021)
Br (0.815, 0.750, 0.521)
Br (0.984, 0.250, 0.836)

## Properties
**Space-group type**: Pnma, No. 62
**Raw formation energy**: -2.57 eV/f.u.
**N(E_F)**: 0.000 states/eV/f.u.

4.
DFT (meta-GGA SCAN) results for ThGeSe at its PBEsol-relaxed geometry.

Unit cell a=4.011 b=4.011 c=17.413 alpha=90.00 beta=90.00 gamma=90.00
Fractional coordinates of all 12 atoms:
Th (0.000, 0.000, 0.134)
Th (0.000, 0.000, 0.866)
Th (0.500, 0.500, 0.366)
Th (0.500, 0.500, 0.634)
Ge (0.000, 0.500, 0.000)
Ge (0.000, 0.500, 0.500)
Ge (0.500, 0.000, 0.000)
Ge (0.500, 0.000, 0.500)
Se (0.000, 0.000, 0.312)
Se (0.000, 0.000, 0.688)
Se (0.500, 0.500, 0.188)
Se (0.500, 0.500, 0.812)

## Properties
**Space-group type**: I4/mmm, No. 139
**Raw formation energy**: -4.11 eV/f.u.
**N(E_F)**: 0.551 states/eV/f.u.

no.,final energy (eV for the cell shown)
1,-284.7
2,-170.2
3,-220.0
4,-556.8